# 1
CsIn3Cu | Alexandria | PBE-GGA | relaxed; total magnetic moment = 0.0 μB/cell; ΔE_f = 89.5 meV/atom; excess energy over the best structure of this formula in the dataset = 0 meV/atom
1.0
7.636 0.000 0.000
-3.818 6.613 0.000
0.000 0.000 6.169
Cs In Cu
2 6 2
Direct
0.333 0.667 0.250
0.667 0.333 0.750
0.168 0.337 0.750
0.168 0.832 0.750
0.337 0.168 0.250
0.663 0.832 0.750
0.832 0.168 0.250
0.832 0.663 0.250
0.000 0.000 0.000
0.000 0.000 0.500

---

# 2
Zn6AgAu8 | Alexandria | PBE-GGA | relaxed; total magnetic moment = 0.0 μB/cell; ΔE_f = -129.4 meV/atom
1.0
3.821 2.206 5.319
-3.821 2.206 5.319
0.000 -4.413 5.319
Zn Ag Au
6 1 8
Direct
0.014 0.710 0.424
0.290 0.576 0.986
0.424 0.014 0.710
0.576 0.986 0.290
0.710 0.424 0.014
0.986 0.290 0.576
0.000 0.000 0.000
0.124 0.415 0.815
0.185 0.876 0.585
0.385 0.385 0.385
0.415 0.815 0.124
0.585 0.185 0.876
0.615 0.615 0.615
0.815 0.124 0.415
0.876 0.585 0.185

---

# 3
LaPm2Nd2 | Alexandria | PBE-GGA | relaxed; total magnetic moment = 0.0 μB/cell; ΔE_f = 91.4 meV/atom; excess energy over the best structure of this formula in the dataset = 0 meV/atom
1.0
9.694 0.000 0.000
0.000 9.694 0.000
0.000 0.000 3.858
La Pm Nd
2 4 4
Direct
0.000 0.000 0.000
0.500 0.500 0.000
0.170 0.330 0.500
0.330 0.830 0.500
0.670 0.170 0.500
0.830 0.670 0.500
0.128 0.628 0.000
0.372 0.128 0.000
0.628 0.872 0.000
0.872 0.372 0.000